# RbLuPbSe3

An optimized crystal structure of RbLuPbSe3 (PBE-GGA, the Open Quantum Materials Database).

Results
Its space group is Cmcm (63). The calculation puts the energy at -53.3 eV for the cell shown. Its total magnetization is 0.01 μB/f.u.

The structure in POSCAR format:
```
RbLuPbSe3
1.0
2.055 -8.658 0.000
2.055 8.658 0.000
0.000 0.000 11.949
Lu Pb Rb Se
2 2 2 6
direct
0.000 0.000 0.000
0.000 0.000 0.500
0.608 0.392 0.250
0.392 0.608 0.750
0.315 0.685 0.250
0.685 0.315 0.750
0.610 0.390 0.001
0.995 0.005 0.250
0.610 0.390 0.499
0.390 0.610 0.501
0.005 0.995 0.750
0.390 0.610 0.999
```



# RbLuTe3Pb

An optimized crystal structure of RbLuTe3Pb (PBE-GGA, the Open Quantum Materials Database).

Results
Its space group is Cmcm (63). The calculation puts the energy at -47.6 eV for the cell shown. Its total magnetization is 0.00 μB/f.u.

The structure in POSCAR format:
```
RbLuTe3Pb
1.0
-4.791 5.930 4.550
2.754 -8.317 -1.434
9.845 1.900 7.889
Lu Pb Rb Te
2 2 2 6
direct
0.000 0.000 0.000
0.000 0.000 0.500
0.587 0.413 0.250
0.413 0.587 0.750
0.285 0.715 0.250
0.715 0.285 0.750
0.622 0.378 0.007
0.968 0.032 0.250
0.622 0.378 0.493
0.378 0.622 0.507
0.032 0.968 0.750
0.378 0.622 0.993
```